Record 1
{"formula": "YCdGaCu", "functional": "PBE-GGA", "state": "optimized geometry", "total_magnetization_mub_per_cell": 0.0, "e_tot_ev_per_cell": -14.97, "cell": [[3.3928, -1.1146, 3.1925], [3.2521, 3.2754, 1.2810], [-0.1242, 1.9083, 4.3919]], "species": ["Cd", "Cu", "Ga", "Y"], "frac_coords": [[0.2500, 0.2500, 0.2500], [0.7500, 0.7500, 0.7500], [0.0000, 0.0000, 0.0000], [0.5000, 0.5000, 0.5000]]}

=====

Record 2
{"formula": "ZrCdGaCu", "functional": "PBE-GGA", "state": "optimized geometry", "total_magnetization_mub_per_cell": 0.0, "e_tot_ev_per_cell": -16.39, "cell": [[2.2536, -3.7111, -1.6700], [-0.4750, -4.1370, 2.0735], [-2.3669, -3.4023, -2.1123]], "species": ["Cd", "Cu", "Ga", "Zr"], "frac_coords": [[0.5000, 0.5000, 0.5000], [0.7500, 0.7500, 0.7500], [0.0000, 0.0000, 0.0000], [0.2500, 0.2500, 0.2500]]}

=====

Record 3
{"formula": "ZrCdGaCu", "functional": "PBE-GGA", "state": "optimized geometry", "total_magnetization_mub_per_cell": 0.0, "e_tot_ev_per_cell": -16.12, "cell": [[2.0664, 0.9662, 4.0591], [0.4725, 4.4227, 1.3773], [-2.5193, 1.6084, 3.5702]], "species": ["Cd", "Cu", "Ga", "Zr"], "frac_coords": [[0.2500, 0.2500, 0.2500], [0.7500, 0.7500, 0.7500], [0.0000, 0.0000, 0.0000], [0.5000, 0.5000, 0.5000]]}

=====

We obtain ρ values of 7.15, 7.86, 7.84 Mg/m³ for the records listed above, in that order.